# 1
A geometry-optimized Na2Be3H8 structure. Source: Alexandria, functional PBE-GGA.

DFT total energy	-41.37	eV/f.u.
magnetization	0.00	μB/cell

a b c (Å): 5.7204 5.7204 4.2397
angles (deg): 107.42 107.42 52.90
Last column: nearest neighbours and their distance in Å.
Element x y z (fractional)
Na: 0.2214 0.2214 0.1725  4 H 2.08-2.15
Na: 0.7786 0.7786 0.8275  4 H 2.08-2.15
Be: 0.2298 0.7702 0.5000  4 H 1.56-1.57
Be: 0.5000 0.5000 0.0000  6 H 1.60-1.65
Be: 0.7702 0.2298 0.5000  4 H 1.56-1.57
H: 0.0955 0.0955 0.4682  2 Be 1.56
H: 0.1999 0.6296 0.1242  2 Be 1.57-1.60
H: 0.3704 0.8001 0.8758  2 Be 1.57-1.60
H: 0.4086 0.4086 0.5973  3 Be 1.65-1.79
H: 0.5914 0.5914 0.4027  3 Be 1.65-1.79
H: 0.6296 0.1999 0.1242  2 Be 1.57-1.60
H: 0.8001 0.3704 0.8758  2 Be 1.57-1.60
H: 0.9045 0.9045 0.5318  2 Be 1.56


# 2
A geometry-optimized NaBe3H6 structure. Source: Alexandria, functional PBE-GGA.

DFT total energy	-32.42	eV/f.u.
magnetization	0.00	μB/cell

a b c (Å): 6.2019 6.2019 6.2019
angles (deg): 114.10 105.84 108.59
Last column: nearest neighbours and their distance in Å.
Element x y z (fractional)
Na: 0.2500 0.2500 0.0000  4 H 2.24
Na: 0.7500 0.7500 0.0000  4 H 2.24
Be: 0.1625 0.5673 0.7297  3 H 1.39-1.43
Be: 0.2500 0.7500 0.5000  4 H 1.49
Be: 0.3375 0.0673 0.4048  3 H 1.39-1.43
Be: 0.6625 0.9327 0.5952  3 H 1.39-1.43
Be: 0.7500 0.2500 0.5000  4 H 1.49
Be: 0.8375 0.4327 0.2703  3 H 1.39-1.43
H: 0.0523 0.5236 0.2226  2 Be 1.43-1.49
H: 0.1752 0.9682 0.1434  1 Be 1.39
H: 0.1990 0.9764 0.5287  2 Be 1.43-1.49
H: 0.3010 0.8297 0.7774  2 Be 1.43-1.49
H: 0.3248 0.4682 0.7930  1 Be 1.39
H: 0.4477 0.6703 0.4713  2 Be 1.43-1.49
H: 0.5523 0.3297 0.5287  2 Be 1.43-1.49
H: 0.6752 0.5318 0.2070  1 Be 1.39
H: 0.6990 0.1703 0.2226  2 Be 1.43-1.49
H: 0.8010 0.0236 0.4713  2 Be 1.43-1.49
H: 0.8248 0.0318 0.8566  1 Be 1.39
H: 0.9477 0.4764 0.7774  2 Be 1.43-1.49


# 3
A geometry-optimized NaBe2H7 structure. Source: Alexandria, functional PBE-GGA.

DFT total energy	-29.73	eV/f.u.
magnetization	0.00	μB/cell

a b c (Å): 5.2996 5.2996 3.0847
angles (deg): 90.00 90.00 129.07
Last column: nearest neighbours and their distance in Å.
Element x y z (fractional)
Na: 0.0000 0.0000 0.0000  8 H 2.30
Be: 0.3335 0.6665 0.5000  7 H 1.54-1.73
Be: 0.6665 0.3335 0.5000  7 H 1.54-1.73
H: 0.0481 0.7099 0.5000  1 H 1.10
H: 0.2901 0.9519 0.5000  1 H 1.10
H: 0.3269 0.6731 0.0000  2 Be 1.54
H: 0.5000 0.5000 0.5000  2 Be 1.59
H: 0.6731 0.3269 0.0000  2 Be 1.54
H: 0.7099 0.0481 0.5000  1 H 1.10
H: 0.9519 0.2901 0.5000  1 H 1.10